A relaxed structure of Mg4Zn3. Source: the Open Quantum Materials Database, functional GGA-PBE.

Lattice parameters (Å, degrees): 7.9450 7.9450 4.6644 90.00 90.00 120.00
Element x y z (fractional)
Mg (0.0224, 0.2418, 0.2500)
Mg (0.2194, 0.9776, 0.2500)
Mg (0.2418, 0.2194, 0.7500)
Mg (0.3333, 0.6667, 0.2500)
Mg (0.6667, 0.3333, 0.7500)
Mg (0.7582, 0.7806, 0.2500)
Mg (0.7806, 0.0224, 0.7500)
Mg (0.9776, 0.7582, 0.7500)
Zn (0.0892, 0.4763, 0.7500)
Zn (0.3871, 0.9108, 0.7500)
Zn (0.4763, 0.3871, 0.2500)
Zn (0.5237, 0.6129, 0.7500)
Zn (0.6129, 0.0892, 0.2500)
Zn (0.9108, 0.5237, 0.2500)

Computed properties:
V, Å³/cell: 255.0
Distance to the lowest polymorph of the same formula, eV/atom: 0.000
Total DFT energy (no corrections), eV per atom: -1.4739

---

A relaxed structure of SrPAu. Source: the Open Quantum Materials Database, functional GGA-PBE.

Lattice parameters (Å, degrees): 7.5974 7.5974 4.3403 90.00 90.00 120.00
Element x y z (fractional)
Sr (0.0000, 0.6208, 0.0000)
Sr (0.3792, 0.3792, 0.0000)
Sr (0.6208, 0.0000, 0.0000)
P (0.0000, 0.3128, 0.5000)
P (0.3128, 0.0000, 0.5000)
P (0.6872, 0.6872, 0.5000)
Au (0.0000, 0.0000, 0.0000)
Au (0.3333, 0.6667, 0.5000)
Au (0.6667, 0.3333, 0.5000)

Computed properties:
V, Å³/cell: 217.0
Total DFT energy (no corrections), eV per atom: -4.0121

---

A relaxed structure of Zr3InS. Source: the Open Quantum Materials Database, functional GGA-PBE.

Lattice parameters (Å, degrees): 3.6092 9.7293 6.3231 90.00 106.55 90.00
Element x y z (fractional)
Zr (0.0443, 0.2500, 0.0866)
Zr (0.3592, 0.0451, 0.7173)
Zr (0.3592, 0.4549, 0.7173)
Zr (0.6408, 0.5451, 0.2827)
Zr (0.6408, 0.9549, 0.2827)
Zr (0.9557, 0.7500, 0.9134)
In (0.2561, 0.7500, 0.5136)
In (0.7439, 0.2500, 0.4864)
S (0.0000, 0.0000, 0.0000)
S (0.0000, 0.5000, 0.0000)

Computed properties:
V, Å³/cell: 212.8
Total DFT energy (no corrections), eV per atom: -7.3136
Spin magnetization, μB per atom: 0.00

---

A relaxed structure of TbInGaAu2. Source: the Open Quantum Materials Database, functional GGA-PBE.

Lattice parameters (Å, degrees): 4.3635 4.3635 11.3924 90.00 90.00 90.00
Element x y z (fractional)
Tb (0.2500, 0.2500, 0.2273)
Tb (0.7500, 0.7500, 0.7727)
In (0.2500, 0.7500, 0.5000)
In (0.7500, 0.2500, 0.5000)
Ga (0.2500, 0.2500, 0.8742)
Ga (0.7500, 0.7500, 0.1258)
Au (0.2500, 0.2500, 0.6580)
Au (0.2500, 0.7500, 0.0000)
Au (0.7500, 0.2500, 0.0000)
Au (0.7500, 0.7500, 0.3420)

Computed properties:
V, Å³/cell: 216.9
Total DFT energy (no corrections), eV per atom: -3.9453
Spin magnetization, μB per atom: 0.00

---

A relaxed structure of Nd2Se3. Source: the Open Quantum Materials Database, functional GGA-PBE.

Lattice parameters (Å, degrees): 11.5146 4.1765 11.1979 90.00 90.00 90.00
Element x y z (fractional)
Nd (0.0116, 0.2500, 0.1869)
Nd (0.1936, 0.2500, 0.5023)
Nd (0.3064, 0.7500, 0.0023)
Nd (0.4884, 0.7500, 0.6869)
Nd (0.5116, 0.2500, 0.3131)
Nd (0.6936, 0.2500, 0.9977)
Nd (0.8064, 0.7500, 0.4977)
Nd (0.9884, 0.7500, 0.8131)
Se (0.0450, 0.7500, 0.3748)
Se (0.1204, 0.2500, 0.9440)
Se (0.2281, 0.7500, 0.6984)
Se (0.2719, 0.2500, 0.1984)
Se (0.3796, 0.7500, 0.4440)
Se (0.4550, 0.2500, 0.8748)
Se (0.5450, 0.7500, 0.1252)
Se (0.6204, 0.2500, 0.5560)
Se (0.7281, 0.7500, 0.8016)
Se (0.7719, 0.2500, 0.3016)
Se (0.8796, 0.7500, 0.0560)
Se (0.9550, 0.2500, 0.6252)

Computed properties:
V, Å³/cell: 538.5
Total DFT energy (no corrections), eV per atom: -5.8994
Spin magnetization, μB per atom: 0.00

---

A relaxed structure of BeGaOs. Source: the Open Quantum Materials Database, functional GGA-PBE.

Lattice parameters (Å, degrees): 5.4053 5.4053 5.4053 90.00 90.00 90.00
Element x y z (fractional)
Be (0.0000, 0.0000, 0.0000)
Be (0.0000, 0.5000, 0.5000)
Be (0.5000, 0.0000, 0.5000)
Be (0.5000, 0.5000, 0.0000)
Ga (0.2500, 0.2500, 0.7500)
Ga (0.2500, 0.7500, 0.2500)
Ga (0.7500, 0.2500, 0.2500)
Ga (0.7500, 0.7500, 0.7500)
Os (0.2500, 0.2500, 0.2500)
Os (0.2500, 0.7500, 0.7500)
Os (0.7500, 0.2500, 0.7500)
Os (0.7500, 0.7500, 0.2500)

Computed properties:
V, Å³/cell: 157.9
Distance to the lowest polymorph of the same formula, eV/atom: 0.000
Total DFT energy (no corrections), eV per atom: -5.8260
Spin magnetization, μB per atom: 0.00